# 1
Computed, not measured: a relaxed LiPb2S2 crystal at the PBE-GGA level of DFT.

a b c (Å): 7.448 7.448 4.349
angles (deg): 90.00 90.00 90.00
Element x y z (fractional)
Pb 0.656 0.844 0.500
Pb 0.344 0.156 0.500
Pb 0.156 0.656 0.500
Pb 0.844 0.344 0.500
S 0.678 0.178 0.000
S 0.822 0.678 0.000
S 0.322 0.822 0.000
S 0.178 0.322 0.000
Li 0.000 0.000 0.000
Li 0.500 0.500 0.000

Computed properties:
total energy: -3.979 eV per atom
energy relative to the elements, uncorrected: -462 meV per atom

---

# 2
Computed, not measured: a relaxed PmSnPdRu crystal at the PBE-GGA level of DFT.

a b c (Å): 4.807 4.807 4.807
angles (deg): 60.00 60.00 60.00
Element x y z (fractional)
Ru 0.750 0.750 0.750
Pd 0.250 0.250 0.250
Sn 0.500 0.500 0.500
Pm 0.000 0.000 0.000

Computed properties:
total energy: -6.262 eV per atom
ΔH_f (0 K): -0.46 eV per atom

---

# 3
Computed, not measured: a relaxed La12CeHg6 crystal at the PBE-GGA level of DFT.

a b c (Å): 8.417 8.417 8.417
angles (deg): 89.29 89.29 89.29
Site moments in Bohr magnetons follow the coordinates.
Element x y z (fractional)
Hg 0.255 0.733 0.881  0.00
Hg 0.745 0.267 0.119  0.00
Hg 0.733 0.881 0.255  0.00
Hg 0.119 0.745 0.267  0.00
Hg 0.881 0.255 0.733  0.00
Hg 0.267 0.119 0.745  0.00
Ce 0.000 0.000 0.000  0.73
La 0.153 0.387 0.042  0.00
La 0.432 0.814 0.541  -0.01
La 0.568 0.186 0.459  -0.01
La 0.042 0.153 0.387  0.00
La 0.847 0.613 0.958  0.00
La 0.459 0.568 0.186  -0.01
La 0.958 0.847 0.613  0.00
La 0.814 0.541 0.432  -0.01
La 0.387 0.042 0.153  0.00
La 0.186 0.459 0.568  -0.01
La 0.541 0.432 0.814  -0.01
La 0.613 0.958 0.847  0.00

Computed properties:
total energy: -3.738 eV per atom
ΔH_f (0 K): -0.22 eV per atom

---

- total energy of number 1 (LiPb2S2)?
  -3.979 eV per atom